Record 1
Density functional theory data (GGA-PBE) for crystalline Tb2Tc2O7 at its relaxed geometry.

Calculated values
Total energy ... -174.16 eV per cell
Energy relative to the elements, uncorrected ... -2.034 eV per atom

Structure (CIF):
```
data_Tb2Tc2O7
_cell_length_a 7.1067
_cell_length_b 7.4264
_cell_length_c 5.1307
_cell_angle_alpha 90.00
_cell_angle_beta 90.00
_cell_angle_gamma 90.00
_space_group_name_H-M_alt 'C m m m'
_space_group_IT_number 65
_space_group_name_Hall '-C 2 2'
loop_
_atom_site_label
_atom_site_type_symbol
_atom_site_fract_x
_atom_site_fract_y
_atom_site_fract_z
Tb1 Tb 0.2413 0.0000 0.0000
Tc1 Tc 0.0000 0.2394 0.5000
O1 O 0.0000 0.0000 0.2757
O2 O 0.0000 0.5000 0.5000
O3 O 0.2500 0.2500 0.2655
```

=====

Record 2
Density functional theory data (GGA-PBE) for crystalline Be2ReF at its relaxed geometry.

Calculated values
Excess energy over the best structure of this formula in the dataset ... 0.090 eV/atom
Total energy ... -50.83 eV per cell
Energy relative to the elements, uncorrected ... -0.911 eV per atom

Structure (CIF):
```
data_Be2ReF
_cell_length_a 3.0918
_cell_length_b 3.1510
_cell_length_c 8.5557
_cell_angle_alpha 90.00
_cell_angle_beta 94.12
_cell_angle_gamma 90.00
_space_group_name_H-M_alt 'P 1 21 1'
_space_group_IT_number 4
loop_
_space_group_symop_operation_xyz
'x,y,z'
'-x,y+1/2,-z'
loop_
_atom_site_label
_atom_site_type_symbol
_atom_site_fract_x
_atom_site_fract_y
_atom_site_fract_z
Be1 Be 0.1246 0.0000 0.1330
Be2 Be 0.2960 0.9590 0.7049
Re1 Re 0.2305 0.9534 0.4036
F1 F 0.2301 0.8045 0.9591
```

=====

Record 3
Density functional theory data (GGA-PBE) for crystalline TbTlCdCu at its relaxed geometry.

Calculated values
DFT formation energy ... -0.130 eV/atom
Total energy ... -50.12 eV per cell

Structure (CIF):
```
data_TbTlCdCu
_cell_length_a 7.0632
_cell_length_b 7.0632
_cell_length_c 7.0632
_cell_angle_alpha 90.00
_cell_angle_beta 90.00
_cell_angle_gamma 90.00
_space_group_name_H-M_alt 'F -4 3 m'
_space_group_IT_number 216
_space_group_name_Hall 'F -4 2 3'
loop_
_atom_site_label
_atom_site_type_symbol
_atom_site_fract_x
_atom_site_fract_y
_atom_site_fract_z
Tb1 Tb 0.0000 0.0000 0.0000
Tl1 Tl 0.2500 0.2500 0.2500
Cd1 Cd 0.0000 0.0000 0.5000
Cu1 Cu 0.2500 0.2500 0.7500
```

=====

Record 4
Density functional theory data (GGA-PBE) for crystalline AlNiN2 at its relaxed geometry.

Calculated values
Total energy ... -74.18 eV per cell
Energy relative to the elements, uncorrected ... 0.362 eV per atom

Structure (CIF):
```
data_AlNiN2
_cell_length_a 2.9361
_cell_length_b 2.9361
_cell_length_c 16.9853
_cell_angle_alpha 90.00
_cell_angle_beta 90.00
_cell_angle_gamma 120.00
_space_group_name_H-M_alt 'R -3 m'
_space_group_IT_number 166
_space_group_name_Hall '-R 3 2"'
loop_
_atom_site_label
_atom_site_type_symbol
_atom_site_fract_x
_atom_site_fract_y
_atom_site_fract_z
Al1 Al 0.0000 0.0000 0.0000
Ni1 Ni 0.0000 0.0000 0.5000
N1 N 0.0000 0.0000 0.1098
```

=====

Record 5
Density functional theory data (GGA-PBE) for crystalline AcReTe at its relaxed geometry.

Calculated values
Total energy ... -41.19 eV per cell
Energy relative to the elements, uncorrected ... -0.299 eV per atom

Structure (CIF):
```
data_AcReTe
_cell_length_a 4.6677
_cell_length_b 6.3605
_cell_length_c 6.4276
_cell_angle_alpha 89.57
_cell_angle_beta 68.73
_cell_angle_gamma 68.48
_space_group_name_H-M_alt 'P -1'
_space_group_IT_number 2
loop_
_space_group_symop_operation_xyz
'x,y,z'
'-x,-y,-z'
loop_
_atom_site_label
_atom_site_type_symbol
_atom_site_fract_x
_atom_site_fract_y
_atom_site_fract_z
Ac1 Ac 0.2483 0.3116 0.1917
Re1 Re 0.4516 0.6708 0.4248
Te1 Te 0.0815 0.1128 0.7256
```

=====

Record 6
Density functional theory data (GGA-PBE) for crystalline Na4Sn3Ge2 at its relaxed geometry.

Calculated values
DFT formation energy ... -0.080 eV/atom
Total energy ... -54.48 eV per cell

Structure (CIF):
```
data_Na4Sn3Ge2
_cell_length_a 17.1154
_cell_length_b 4.1830
_cell_length_c 7.6605
_cell_angle_alpha 90.00
_cell_angle_beta 112.51
_cell_angle_gamma 90.00
_space_group_name_H-M_alt 'C 1 2/m 1'
_space_group_IT_number 12
loop_
_space_group_symop_operation_xyz
'x,y,z'
'-x,-y,-z'
'-x,y,-z'
'x,-y,z'
'x+1/2,y+1/2,z'
'-x+1/2,-y+1/2,-z'
'-x+1/2,y+1/2,-z'
'x+1/2,-y+1/2,z'
loop_
_atom_site_label
_atom_site_type_symbol
_atom_site_fract_x
_atom_site_fract_y
_atom_site_fract_z
Na1 Na 0.0897 0.0000 0.3426
Na2 Na 0.2326 0.5000 0.1817
Sn1 Sn 0.0000 0.5000 0.0000
Sn2 Sn 0.0886 0.5000 0.6672
Ge1 Ge 0.1101 0.0000 0.9254
```